1.
Compound: TbLuPt2
Source: Alexandria via LeMat-Bulk
Functional: PBE-GGA
Structure: optimized geometry

Cell: 4.0388 4.0388 19.7629 Å, 90.00 90.00 120.00°
Space group R-3m (No. 166, hexagonal axes)
Unique sites:
Tb1 0.0000 0.0000 0.0000 (multiplicity 3)
Lu1 0.0000 0.0000 0.5000 (multiplicity 3)
Pt1 0.0000 0.0000 0.2467 (multiplicity 6)

- Excess energy over the best structure of this formula in the dataset: 106 meV/atom
- Formation energy: -110.53 kJ per mole of atoms
- Uncorrected energy: -6.4538 eV/atom

---

2.
Compound: TbLuPt2
Source: Alexandria via LeMat-Bulk
Functional: PBE-GGA
Structure: optimized geometry

Cell: 6.939 6.939 6.939 Å, 90.00 90.00 90.00°
Space group Fm-3m (No. 225)
Unique sites:
Tb1 0.000 0.000 0.000 (multiplicity 4)
Lu1 0.000 0.000 0.500 (multiplicity 4)
Pt1 0.250 0.250 0.250 (multiplicity 8)

- Excess energy over the best structure of this formula in the dataset: 0 meV/atom
- Formation energy: -120.79 kJ per mole of atoms
- Uncorrected energy: -6.5601 eV/atom

---

3.
Compound: TbLuPt2
Source: Alexandria via LeMat-Bulk
Functional: PBE-GGA
Structure: optimized geometry

Cell: 4.920 4.920 3.444 Å, 90.00 90.00 90.00°
Space group P4/mmm (No. 123)
Unique sites:
Tb1 0.000 0.000 0.000 (multiplicity 1)
Lu1 0.500 0.500 0.000 (multiplicity 1)
Pt1 0.000 0.500 0.500 (multiplicity 2)

- Excess energy over the best structure of this formula in the dataset: 3 meV/atom
- Formation energy: -120.51 kJ per mole of atoms
- Uncorrected energy: -6.5572 eV/atom

---

4.
Compound: TbLuPt
Source: Alexandria via LeMat-Bulk
Functional: PBE-GGA
Structure: optimized geometry

Cell: 6.818 6.818 6.818 Å, 90.00 90.00 90.00°
Space group F-43m (No. 216)
Unique sites:
Tb1 0.000 0.000 0.000 (multiplicity 4)
Lu1 0.000 0.000 0.500 (multiplicity 4)
Pt1 0.250 0.250 0.750 (multiplicity 4)

- Excess energy over the best structure of this formula in the dataset: 0 meV/atom
- Formation energy: -86.97 kJ per mole of atoms
- Uncorrected energy: -5.9654 eV/atom